1.
DFT (PBE-GGA) results for a geometry-optimized CsRbCaN2 structure.

a b c (Å): 4.878 5.725 4.878
angles (deg): 90.00 90.00 90.00
Last column: magnetic moment on the atom in μB.
Fractional coordinates of all 5 atoms:
Rb 0.500 0.500 0.500  -0.01
Cs 0.000 0.500 0.000  -0.02
Ca 0.000 0.000 0.000  -0.01
N 0.000 0.000 0.500  0.78
N 0.500 0.000 0.000  0.62

Calculated values
**Calculated density**: 3.5 Mg/m³
**V**: 27.25 A^3/atom
**DOS at the Fermi energy**: 3.0 states/eV/cell
**Final energy**: -3.10 eV per atom



2.
DFT (PBE-GGA) results for a geometry-optimized Ce4Te5H2 structure.

a b c (Å): 4.378 8.224 11.815
angles (deg): 126.58 100.68 90.00
Last column: magnetic moment on the atom in μB.
Fractional coordinates of all 11 atoms:
Ce 0.708 0.694 0.416  0.91
H 0.419 0.543 0.838  -0.01
Ce 0.030 0.316 0.060  0.94
Te 0.861 0.179 0.722  -0.03
Ce 0.970 0.684 0.940  0.94
Te 0.139 0.821 0.278  -0.03
Te 0.830 0.634 0.661  -0.04
Te 0.170 0.366 0.339  -0.04
Ce 0.292 0.306 0.584  0.91
H 0.581 0.457 0.162  -0.01
Te 0.500 0.000 0.000  -0.04

Calculated values
**Calculated density**: 6.0 Mg/m³
**V**: 30.22 A^3/atom
**DOS at the Fermi energy**: 27.3 states/eV/cell
**Final energy**: -5.21 eV per atom



3.
DFT (PBE-GGA) results for a geometry-optimized Li2NdBiS4 structure.

a b c (Å): 7.946 7.946 8.013
angles (deg): 120.27 120.27 89.99
Fractional coordinates of all 16 atoms:
Nd 0.000 0.500 0.500
S 0.253 0.247 0.995
S 0.744 0.247 0.996
S 0.747 0.753 0.005
Bi 0.500 0.500 0.500
S 0.747 0.753 0.495
S 0.747 0.244 0.496
S 0.256 0.753 0.004
S 0.253 0.756 0.504
S 0.253 0.247 0.505
Li 0.500 0.500 0.000
Li 0.000 0.000 0.500
Nd 0.000 0.500 0.000
Bi 0.000 0.000 0.000
Li 0.500 0.000 0.500
Li 0.500 0.000 0.000

Calculated values
**Calculated density**: 4.6 Mg/m³
**V**: 22.17 A^3/atom
**DOS at the Fermi energy**: 0.0 states/eV/cell
**Final energy**: -4.88 eV per atom



4.
DFT (PBE-GGA) results for a geometry-optimized K3NbRh2S6 structure.

a b c (Å): 6.513 6.513 7.302
angles (deg): 98.59 98.59 120.35
Last column: magnetic moment on the atom in μB.
Fractional coordinates of all 12 atoms:
Rh 0.334 0.666 0.000  0.19
S 0.057 0.403 0.175  0.00
Nb 0.000 0.000 0.000  1.26
S 0.285 0.285 0.825  0.00
S 0.715 0.715 0.175  0.00
S 0.403 0.057 0.175  0.00
K 0.165 0.835 0.500  0.00
S 0.943 0.597 0.825  0.00
K 0.500 0.500 0.500  0.00
Rh 0.666 0.334 0.000  0.19
S 0.597 0.943 0.825  0.00
K 0.835 0.165 0.500  0.00

Calculated values
**Calculated density**: 4.0 Mg/m³
**V**: 21.25 A^3/atom
**DOS at the Fermi energy**: 9.4 states/eV/cell
**Final energy**: -5.19 eV per atom



5.
DFT (PBE-GGA) results for a geometry-optimized Sm7Y3Th2 structure.

a b c (Å): 3.618 6.266 19.149
angles (deg): 105.84 106.48 90.00
Fractional coordinates of all 12 atoms:
Sm 0.750 0.532 0.832
Y 0.500 0.500 0.000
Th 0.001 0.555 0.667
Sm 0.248 0.025 0.832
Sm 0.250 0.468 0.168
Sm 0.752 0.975 0.168
Sm 0.000 0.000 0.000
Y 0.500 0.940 0.334
Sm 0.749 0.742 0.499
Y 0.500 0.060 0.666
Th 0.999 0.445 0.333
Sm 0.251 0.258 0.501

Calculated values
**Calculated density**: 7.4 Mg/m³
**V**: 33.25 A^3/atom
**DOS at the Fermi energy**: 15.2 states/eV/cell
**Energy of formation**: 0.035 eV per atom
**Final energy**: -5.57 eV per atom



6.
DFT (PBE-GGA) results for a geometry-optimized TlCdOF structure.

a b c (Å): 3.518 3.518 7.020
angles (deg): 90.01 104.52 120.00
Fractional coordinates of all 4 atoms:
O 0.099 0.947 0.062
Cd 0.317 0.556 0.888
Tl 0.935 0.366 0.315
F 0.527 0.162 0.705

Calculated values
**Calculated density**: 8.1 Mg/m³
**V**: 18.00 A^3/atom
**Final energy**: -3.82 eV per atom



7.
DFT (PBE-GGA) results for a geometry-optimized Mg12Sn3Pb structure.

a b c (Å): 4.501 4.501 18.058
angles (deg): 90.00 90.00 90.00
Fractional coordinates of all 16 atoms:
Sn 0.000 0.000 0.500
Mg 0.000 0.500 0.624
Mg 0.500 0.500 0.747
Mg 0.500 0.000 0.624
Mg 0.500 0.500 0.253
Mg 0.500 0.000 0.129
Mg 0.000 0.500 0.871
Sn 0.000 0.000 0.749
Pb 0.000 0.000 0.000
Mg 0.500 0.500 0.500
Mg 0.000 0.500 0.129
Mg 0.500 0.500 0.000
Mg 0.000 0.500 0.376
Mg 0.500 0.000 0.871
Mg 0.500 0.000 0.376
Sn 0.000 0.000 0.251

Calculated values
**Calculated density**: 3.9 Mg/m³
**V**: 22.87 A^3/atom
**DOS at the Fermi energy**: 6.2 states/eV/cell
**Energy of formation**: -0.114 eV per atom
**Final energy**: -2.29 eV per atom



8.
DFT (PBE-GGA) results for a geometry-optimized TbY3Sb2 structure.

a b c (Å): 4.487 4.487 8.484
angles (deg): 90.00 90.00 90.00
Fractional coordinates of all 6 atoms:
Y 0.500 0.000 0.352
Y 0.000 0.000 0.000
Sb 0.500 0.000 0.720
Y 0.000 0.500 0.648
Tb 0.500 0.500 0.000
Sb 0.000 0.500 0.280

Calculated values
**Calculated density**: 6.5 Mg/m³
**V**: 28.47 A^3/atom
**Energy relative to the lowest polymorph listed for this composition**: 0.000 eV per formula unit
**DOS at the Fermi energy**: 4.6 states/eV/cell
**Final energy**: -6.20 eV per atom



9.
DFT (PBE-GGA) results for a geometry-optimized SrCrS2 structure.

a b c (Å): 4.667 4.667 4.667
angles (deg): 60.00 60.00 60.00
Fractional coordinates of all 4 atoms:
Sr 0.500 0.500 0.500
S 0.250 0.250 0.250
S 0.750 0.750 0.750
Cr 0.000 0.000 0.000

Calculated values
**Calculated density**: 4.7 Mg/m³
**V**: 17.97 A^3/atom
**Energy relative to the lowest polymorph listed for this composition**: 2.013 eV per formula unit
**DOS at the Fermi energy**: 0.0 states/eV/cell
**Final energy**: -5.24 eV per atom



10.
DFT (PBE-GGA) results for a geometry-optimized TbNd2ErTe6 structure.

a b c (Å): 7.833 7.833 8.395
angles (deg): 62.19 62.19 60.00
Fractional coordinates of all 10 atoms:
Te 0.932 0.597 0.258
Te 0.717 0.095 0.755
Nd 0.514 0.514 0.459
Tb 0.324 0.324 0.029
Te 0.434 0.717 0.755
Er 0.824 0.824 0.529
Te 0.597 0.213 0.258
Nd 0.013 0.014 0.960
Te 0.213 0.932 0.258
Te 0.095 0.434 0.755

Calculated values
**Calculated density**: 6.1 Mg/m³
**V**: 37.58 A^3/atom
**Final energy**: -5.13 eV per atom



11.
DFT (PBE-GGA) results for a geometry-optimized YCdTc structure.

a b c (Å): 4.725 4.725 4.725
angles (deg): 60.00 60.00 60.00
Last column: magnetic moment on the atom in μB.
Fractional coordinates of all 3 atoms:
Cd 0.500 0.500 0.500  -0.01
Y 0.000 0.000 0.000  0.08
Tc 0.750 0.750 0.750  1.30

Calculated values
**Calculated density**: 6.7 Mg/m³
**V**: 24.86 A^3/atom
**Energy relative to the lowest polymorph listed for this composition**: 1.185 eV per formula unit
**DOS at the Fermi energy**: 6.0 states/eV/cell
**Energy of formation**: 0.559 eV per atom
**Final energy**: -5.36 eV per atom



12.
DFT (PBE-GGA) results for a geometry-optimized PrTm2Rh structure.

a b c (Å): 3.887 3.887 9.242
angles (deg): 77.86 77.86 60.00
Fractional coordinates of all 4 atoms:
Tm 0.276 0.276 0.172
Tm 0.056 0.056 0.832
Rh 0.666 0.666 0.002
Pr 0.502 0.502 0.495

Calculated values
**Calculated density**: 8.2 Mg/m³
**V**: 29.32 A^3/atom
**Energy relative to the lowest polymorph listed for this composition**: 0.483 eV per formula unit
**DOS at the Fermi energy**: 4.4 states/eV/cell
**Energy of formation**: -0.391 eV per atom
**Final energy**: -5.66 eV per atom